# CeGaFe2O6

A relaxed structure of CeGaFe2O6 (GGA+U, Alexandria via LeMat-Bulk).

a b c (Å): 5.2708 5.2725 5.6772
angles (deg): 62.51 62.39 60.08
Space group P1 (No. 1)
Symmetry-distinct sites (fractional):
Ce1 0.0000 0.0000 0.0000 x1
Ga1 0.4915 0.4920 0.5232 x1
Fe1 0.2840 0.2882 0.1382 x1
Fe2 0.7893 0.7892 0.6309 x1
O1 0.0802 0.4347 0.8294 x1
O2 0.1955 0.8763 0.3528 x1
O3 0.4331 0.6557 0.8305 x1
O4 0.5728 0.1951 0.3533 x1
O5 0.6539 0.0808 0.8310 x1
O6 0.8771 0.5723 0.3534 x1

Uncorrected energy = -68.80 eV/f.u.
Total magnetic moment = 4.96 μB per cell